This record from the Alexandria database describes Ni2SbAu at its PBEsol-relaxed geometry. The functional is SCAN.

The value obtained for the energy relative to the elements, uncorrected is 79 meV per atom. Its magnetic moment is 0.001 μB per cell. The total energy is -34.612 eV per atom.

The structure belongs to space group Imm2 (No. 44); the cell edges are 3.675, 3.798 and 8.353 Å and the angles 90.00°, 90.00° and 90.00°. The inequivalent atoms are Ni at (0.000, 0.000, 0.000), Ni at (0.000, 0.500, 0.242), Sb at (0.000, 0.500, 0.732) and Au at (0.000, 0.000, 0.483).